Record 1
Here is a relaxed structure of SrGdErMg from Alexandria. Energies are from PBE. Values from VASP.

The structure in Quantum ESPRESSO input format:
```
&SYSTEM
  ibrav = 0, nat = 4, ntyp = 4
/
ATOMIC_SPECIES
Er 167.26 Er.upf
Mg 24.30 Mg.upf
Sr 87.62 Sr.upf
Gd 157.25 Gd.upf
ATOMIC_POSITIONS crystal
Er 0.500 0.500 0.500
Mg 0.000 0.000 0.000
Sr 0.750 0.750 0.750
Gd 0.250 0.250 0.250
CELL_PARAMETERS angstrom
5.719 0.000 0.000
2.860 4.953 0.000
2.860 1.651 4.670
```

Values from the calculation:
The value obtained for the volume is 132 Å³/cell. The formation enthalpy at 0 K is 0.15 eV per atom. The value obtained for the total energy is -5.33 eV/atom.



Record 2
Here is a relaxed structure of BaLaMg2Co from Alexandria. Energies are from PBE. Values from VASP.

The structure in Quantum ESPRESSO input format:
```
&SYSTEM
  ibrav = 0, nat = 5, ntyp = 4
/
ATOMIC_SPECIES
Ba 137.33 Ba.upf
Co 58.93 Co.upf
La 138.91 La.upf
Mg 24.30 Mg.upf
ATOMIC_POSITIONS crystal
Ba 0.500 0.500 0.500
Co 0.000 0.000 0.000
La 0.000 0.000 0.500
Mg 0.500 0.000 0.000
Mg 0.000 0.500 0.000
CELL_PARAMETERS angstrom
-3.708 -3.627 1.357
-0.583 -1.335 -5.161
3.593 -3.488 0.496
```

Values from the calculation:
The value obtained for the volume is 145 Å³/cell. The formation enthalpy at 0 K is -0.06 eV per atom. The value obtained for the total energy is -3.49 eV/atom.



Record 3
Here is a relaxed structure of NaBiSe2Br from Alexandria. Energies are from PBE. Values from VASP.

The structure in Quantum ESPRESSO input format:
```
&SYSTEM
  ibrav = 0, nat = 5, ntyp = 4
/
ATOMIC_SPECIES
Se 78.96 Se.upf
Bi 208.98 Bi.upf
Br 79.90 Br.upf
Na 22.99 Na.upf
ATOMIC_POSITIONS crystal
Se 0.000 0.500 0.000
Se 0.500 0.000 0.000
Bi 0.500 0.500 0.500
Br 0.000 0.000 0.500
Na 0.000 0.000 0.000
CELL_PARAMETERS angstrom
5.198 0.000 0.000
0.000 5.198 0.000
0.000 0.000 5.146
```

Values from the calculation:
The value obtained for the volume is 139 Å³/cell. As for the energy above the most stable polymorph in this dataset: 527 meV/atom. The value obtained for the total energy is -2.58 eV/atom. The formation energy from raw total energies is 0.187 eV per atom.



Record 4
Here is a relaxed structure of RbP2IrS from Alexandria. Energies are from PBE. Values from VASP.

The structure in Quantum ESPRESSO input format:
```
&SYSTEM
  ibrav = 0, nat = 5, ntyp = 4
/
ATOMIC_SPECIES
P 30.97 P.upf
Rb 85.47 Rb.upf
S 32.06 S.upf
Ir 192.22 Ir.upf
ATOMIC_POSITIONS crystal
P 0.500 0.000 0.000
P 0.000 0.500 0.000
Rb 0.500 0.500 0.500
S 0.000 0.000 0.500
Ir 0.000 0.000 0.000
CELL_PARAMETERS angstrom
4.565 0.000 0.000
0.000 4.565 0.000
0.000 0.000 5.604
```

Values from the calculation:
The value obtained for the volume is 117 Å³/cell. As for the energy above the most stable polymorph in this dataset: 0 meV/atom. The value obtained for the total energy is -4.79 eV/atom. The formation energy from raw total energies is 0.169 eV per atom.